1.
A plane-wave DFT calculation with GGA-PBE was carried out for a relaxed Pm5Be2Si5 crystal.

CIF file:
```
data_Pm5Be2Si5
_chemical_formula_sum 'Pm10 Be4 Si10'
_space_group_name_H-M_alt 'C 1 2/m 1'
_space_group_IT_number 12
_space_group_name_Hall '-C 2y'
_cell_length_a 14.6346
_cell_length_b 4.0075
_cell_length_c 10.9643
_cell_angle_alpha 90.00
_cell_angle_beta 127.20
_cell_angle_gamma 90.00
loop_
_atom_site_label
_atom_site_type_symbol
_atom_site_fract_x
_atom_site_fract_y
_atom_site_fract_z
Pm1 Pm 0.0000 0.0000 0.0000
Pm2 Pm 0.1270 0.5000 0.8186
Pm3 Pm 0.1882 0.5000 0.5825
Be1 Be 0.1133 0.5000 0.2617
Si1 Si 0.0000 0.0000 0.5000
Si2 Si 0.0712 0.0000 0.3238
Si3 Si 0.1937 0.5000 0.1379
```

Computed properties:
E_tot = -5.428 eV per atom
crystal system = monoclinic
total magnetic moment = 0.00 Bohr magnetons per cell

---

2.
A plane-wave DFT calculation with GGA-PBE was carried out for a relaxed Pm3BeSi3 crystal.

CIF file:
```
data_Pm3BeSi3
_chemical_formula_sum 'Pm6 Be2 Si6'
_space_group_name_H-M_alt 'I m m 2'
_space_group_IT_number 44
_space_group_name_Hall 'I 2 -2'
_cell_length_a 3.9215
_cell_length_b 4.3124
_cell_length_c 17.8198
_cell_angle_alpha 90.00
_cell_angle_beta 90.00
_cell_angle_gamma 90.00
loop_
_atom_site_label
_atom_site_type_symbol
_atom_site_fract_x
_atom_site_fract_y
_atom_site_fract_z
Pm1 Pm 0.0000 0.0000 0.0000
Pm2 Pm 0.0000 0.0000 0.3674
Pm3 Pm 0.0000 0.5000 0.6832
Be1 Be 0.0000 0.5000 0.1162
Si1 Si 0.0000 0.0000 0.5513
Si2 Si 0.0000 0.0000 0.8226
Si3 Si 0.0000 0.5000 0.2411
```

Computed properties:
E_tot = -5.581 eV per atom
crystal system = orthorhombic
total magnetic moment = 1.52 Bohr magnetons per cell
energy above the lowest structure with this stoichiometry = 0.0 meV/atom

---

3.
A plane-wave DFT calculation with GGA-PBE was carried out for a relaxed Pm4BeSi3 crystal.

CIF file:
```
data_Pm4BeSi3
_chemical_formula_sum 'Pm4 Be1 Si3'
_space_group_name_H-M_alt 'P m m 2'
_space_group_IT_number 25
_space_group_name_Hall 'P 2 -2'
_cell_length_a 3.9256
_cell_length_b 4.3465
_cell_length_c 10.9904
_cell_angle_alpha 90.00
_cell_angle_beta 90.00
_cell_angle_gamma 90.00
loop_
_atom_site_label
_atom_site_type_symbol
_atom_site_fract_x
_atom_site_fract_y
_atom_site_fract_z
Pm1 Pm 0.0000 0.0000 0.0000
Pm2 Pm 0.0000 0.5000 0.4974
Pm3 Pm 0.5000 0.0000 0.7151
Pm4 Pm 0.5000 0.5000 0.2166
Be1 Be 0.0000 0.0000 0.3037
Si1 Si 0.0000 0.5000 0.7857
Si2 Si 0.5000 0.0000 0.4196
Si3 Si 0.5000 0.5000 0.9251
```

Computed properties:
E_tot = -5.457 eV per atom
crystal system = orthorhombic
total magnetic moment = 0.22 Bohr magnetons per cell

---

4.
A plane-wave DFT calculation with GGA-PBE was carried out for a relaxed Pm2BeSi3 crystal.

CIF file:
```
data_Pm2BeSi3
_chemical_formula_sum 'Pm16 Be8 Si24'
_space_group_name_H-M_alt 'F m m m'
_space_group_IT_number 69
_space_group_name_Hall '-F 2 2'
_cell_length_a 7.9415
_cell_length_b 8.3912
_cell_length_c 13.7451
_cell_angle_alpha 90.00
_cell_angle_beta 90.00
_cell_angle_gamma 90.00
loop_
_atom_site_label
_atom_site_type_symbol
_atom_site_fract_x
_atom_site_fract_y
_atom_site_fract_z
Pm1 Pm 0.0000 0.2457 0.0000
Pm2 Pm 0.2500 0.2500 0.2500
Be1 Be 0.0000 0.0000 0.3336
Si1 Si 0.0000 0.0000 0.1723
Si2 Si 0.2392 0.0000 0.4141
```

Computed properties:
E_tot = -5.620 eV per atom
crystal system = orthorhombic
total magnetic moment = 0.00 Bohr magnetons per cell
energy above the lowest structure with this stoichiometry = 0.0 meV/atom